(1)
NdUIn2O8 (GGA-PBE, relaxed); spin magnetization = 0.75 μB/cell; raw total energy = -0.5437 Ry/atom; V = 178 Å³/cell; density = 6.91 Mg/m³; space-group type = P2/m (10)
1.0
5.0241 0.0000 0.0000
0.0000 7.0389 0.0000
-0.0132 0.0000 5.0274
Nd U In O
1 1 2 8
Direct
0.0000 0.0000 0.0000
0.0000 0.5000 0.0000
0.5000 0.2564 0.5000
0.5000 0.7436 0.5000
0.1904 0.2783 0.1916
0.1904 0.7217 0.1916
0.3007 0.5000 0.7005
0.3242 0.0000 0.6775
0.6758 0.0000 0.3225
0.6993 0.5000 0.2995
0.8096 0.2783 0.8084
0.8096 0.7217 0.8084

(2)
NdUInO6 (GGA-PBE, relaxed); spin magnetization = 0.00 μB/cell; raw total energy = -0.5979 Ry/atom; V = 278 Å³/cell; density = 7.08 Mg/m³; space-group type = P-31c (163)
1.0
5.6058 0.0000 0.0000
-2.8029 4.8548 0.0000
0.0000 0.0000 10.2208
Nd U In O
2 2 2 12
Direct
0.0000 0.0000 0.0000
0.0000 0.0000 0.5000
0.3333 0.6667 0.2500
0.6667 0.3333 0.7500
0.3333 0.6667 0.7500
0.6667 0.3333 0.2500
0.0141 0.3574 0.1376
0.0141 0.6567 0.3624
0.3433 0.3574 0.3624
0.3433 0.9859 0.1376
0.3574 0.0141 0.6376
0.3574 0.3433 0.8624
0.6426 0.6567 0.1376
0.6426 0.9859 0.3624
0.6567 0.0141 0.8624
0.6567 0.6426 0.6376
0.9859 0.3433 0.6376
0.9859 0.6426 0.8624

- What is the formula in the second record?
  NdUInO6

Copy entry 1 word for word.
NdUIn2O8 (GGA-PBE, relaxed); spin magnetization = 0.75 μB/cell; raw total energy = -0.5437 Ry/atom; V = 178 Å³/cell; density = 6.91 Mg/m³; space-group type = P2/m (10)
1.0
5.0241 0.0000 0.0000
0.0000 7.0389 0.0000
-0.0132 0.0000 5.0274
Nd U In O
1 1 2 8
Direct
0.0000 0.0000 0.0000
0.0000 0.5000 0.0000
0.5000 0.2564 0.5000
0.5000 0.7436 0.5000
0.1904 0.2783 0.1916
0.1904 0.7217 0.1916
0.3007 0.5000 0.7005
0.3242 0.0000 0.6775
0.6758 0.0000 0.3225
0.6993 0.5000 0.2995
0.8096 0.2783 0.8084
0.8096 0.7217 0.8084

- What is the formula in the first record?
  NdUIn2O8

- Look up the raw total energy of the second one.
  -0.5979 Ry/atom